Sc4CdCo | PBE | optimized geometry

The space group is R-3m (No. 166, hexagonal axes) and the conventional cell measures 4.9816, 4.9816 and 18.2254 Å, with angles of 90.00, 90.00 and 120.00 degrees. The distinct sites, in fractional coordinates, are Sc at (0.0000, 0.0000, 0.1190), Sc at (0.0000, 0.0000, 0.3225), Cd at (0.0000, 0.0000, 0.5000) and Co at (0.0000, 0.0000, 0.0000).

The energy of formation from the pure elements is -0.100 eV per atom. The value obtained for the calculated density is 4.47 g cm⁻³. Its total magnetic moment is 0.0 μB per formula unit. The electronic total energy is -5.658 eV per atom.